# PBE Rb3PbO, optimized geometry
data_Rb3PbO
_space_group_name_H-M_alt 'P 1'
_space_group_IT_number 1
_space_group_name_Hall 'P 1'
_cell_length_a 5.805
_cell_length_b 5.805
_cell_length_c 5.805
_cell_angle_alpha 90.00
_cell_angle_beta 90.00
_cell_angle_gamma 90.00
loop_
_atom_site_label
_atom_site_type_symbol
_atom_site_fract_x
_atom_site_fract_y
_atom_site_fract_z
_atom_site_occupancy
Rb1 Rb 0.500 0.000 0.000 1
Pb1 Pb 0.500 0.500 0.500 1
Rb2 Rb 0.000 0.000 0.500 1
O1 O 0.000 0.000 0.000 1
Rb3 Rb 0.000 0.500 0.000 1
# Formation energy (no corrections), meV per atom: -386

# PBE Rb5Pb2O5, optimized geometry
data_Rb5Pb2O5
_space_group_name_H-M_alt 'P 1'
_space_group_IT_number 1
_space_group_name_Hall 'P 1'
_cell_length_a 4.079
_cell_length_b 6.895
_cell_length_c 11.213
_cell_angle_alpha 106.95
_cell_angle_beta 90.00
_cell_angle_gamma 107.20
loop_
_atom_site_label
_atom_site_type_symbol
_atom_site_fract_x
_atom_site_fract_y
_atom_site_fract_z
_atom_site_occupancy
Rb1 Rb 0.653 0.307 0.054 1
Rb2 Rb 0.753 0.506 0.369 1
Rb3 Rb 0.500 0.000 0.500 1
Pb1 Pb 0.969 0.938 0.209 1
Pb2 Pb 0.031 0.062 0.791 1
O1 O 0.376 0.752 0.219 1
O2 O 0.107 0.214 0.378 1
Rb4 Rb 0.247 0.494 0.631 1
O3 O 0.893 0.786 0.622 1
O4 O 0.624 0.248 0.781 1
Rb5 Rb 0.347 0.693 0.946 1
O5 O 0.000 0.000 0.000 1
# Formation energy (no corrections), meV per atom: -1095

# PBE Rb3Pb2O4, optimized geometry
data_Rb3Pb2O4
_space_group_name_H-M_alt 'P 1'
_space_group_IT_number 1
_space_group_name_Hall 'P 1'
_cell_length_a 6.681
_cell_length_b 8.170
_cell_length_c 8.170
_cell_angle_alpha 99.34
_cell_angle_beta 78.43
_cell_angle_gamma 78.43
loop_
_atom_site_label
_atom_site_type_symbol
_atom_site_fract_x
_atom_site_fract_y
_atom_site_fract_z
_atom_site_occupancy
Pb1 Pb 0.119 0.551 0.807 1
Rb1 Rb 0.466 0.255 0.992 1
Pb2 Pb 0.619 0.807 0.551 1
Rb2 Rb 0.750 0.387 0.613 1
O1 O 0.376 0.717 0.713 1
O2 O 0.609 0.078 0.627 1
O3 O 0.624 0.283 0.287 1
Rb3 Rb 0.966 0.992 0.255 1
O4 O 0.891 0.373 0.922 1
O5 O 0.109 0.627 0.078 1
Pb3 Pb 0.381 0.193 0.449 1
O6 O 0.124 0.287 0.283 1
O7 O 0.876 0.713 0.717 1
O8 O 0.391 0.922 0.373 1
Pb4 Pb 0.881 0.449 0.193 1
Rb4 Rb 0.034 0.008 0.745 1
Rb5 Rb 0.250 0.613 0.387 1
Rb6 Rb 0.534 0.745 0.008 1
# Formation energy (no corrections), meV per atom: -1126

# PBE Rb2PbO2, optimized geometry
data_Rb2PbO2
_space_group_name_H-M_alt 'P 1'
_space_group_IT_number 1
_space_group_name_Hall 'P 1'
_cell_length_a 7.697
_cell_length_b 7.978
_cell_length_c 10.646
_cell_angle_alpha 85.19
_cell_angle_beta 109.55
_cell_angle_gamma 118.83
loop_
_atom_site_label
_atom_site_type_symbol
_atom_site_fract_x
_atom_site_fract_y
_atom_site_fract_z
_atom_site_occupancy
Pb1 Pb 0.602 0.060 0.876 1
Rb1 Rb 0.760 0.268 0.493 1
O1 O 0.195 0.406 0.646 1
Rb2 Rb 0.398 0.433 0.142 1
Rb3 Rb 0.935 0.452 0.170 1
Rb4 Rb 0.065 0.548 0.830 1
Rb5 Rb 0.075 0.067 0.824 1
O2 O 0.934 0.214 0.982 1
Pb2 Pb 0.398 0.940 0.124 1
O3 O 0.659 0.486 0.625 1
O4 O 0.504 0.807 0.006 1
Pb3 Pb 0.695 0.703 0.472 1
Rb6 Rb 0.602 0.567 0.858 1
Pb4 Pb 0.305 0.297 0.528 1
Rb7 Rb 0.925 0.933 0.176 1
Rb8 Rb 0.240 0.732 0.507 1
O5 O 0.066 0.786 0.018 1
O6 O 0.341 0.514 0.375 1
O7 O 0.496 0.193 0.994 1
O8 O 0.805 0.594 0.354 1
# Formation energy (no corrections), meV per atom: -1226